No. 1
{
  "formula": "Li4GaCu3",
  "functional": "PBE",
  "state": "optimized geometry",
  "lattice": [[-0.0079, -2.3278, 1.3081], [3.7738, -1.3410, -2.3636], [4.7836, 4.8385, 5.9141]],
  "species": ["Li", "Cu", "Ga", "Cu", "Cu", "Li", "Li", "Li"],
  "fractional_positions": [[0.2565, 0.2356, 0.5130], [0.1204, 0.8788, 0.2409], [0.5000, 0.0000, 0.0000], [0.0000, 0.5000, 0.0000], [0.8796, 0.1212, 0.7591], [0.6221, 0.3787, 0.2441], [0.7435, 0.7644, 0.4870], [0.3779, 0.6213, 0.7559]],
  "magnetic_moment_mub_per_fu": 0.00,
  "space_group": "C2/m",
  "formation_energy_mev_per_atom": -57,
  "e_above_lowest_polymorph_ev_per_atom": 0.000,
  "dos_at_fermi_per_ev_cell": 2.20,
  "total_energy_ev_per_cell": -23.43
}

---

No. 2
{
  "formula": "Li3Ga2Cu6",
  "functional": "PBE",
  "state": "optimized geometry",
  "lattice": [[-2.4860, -2.0515, -3.7340], [2.4940, -2.5675, -3.3942], [-0.8374, -10.9600, -4.3196]],
  "species": ["Ga", "Cu", "Cu", "Cu", "Li", "Cu", "Li", "Ga", "Cu", "Cu", "Li"],
  "fractional_positions": [[0.6647, 0.6648, 0.8105], [0.3243, 0.8420, 0.1823], [0.1774, 0.1775, 0.5001], [0.6757, 0.1580, 0.8177], [0.0000, 0.0000, 0.0000], [0.8419, 0.3242, 0.1824], [0.6429, 0.6423, 0.3443], [0.3353, 0.3352, 0.1895], [0.8226, 0.8225, 0.4999], [0.1581, 0.6758, 0.8176], [0.3571, 0.3577, 0.6557]],
  "magnetic_moment_mub_per_fu": 0.00,
  "space_group": "C2/m",
  "formation_energy_mev_per_atom": -74,
  "dos_at_fermi_per_ev_cell": 2.97,
  "total_energy_ev_per_cell": -37.19
}

---

No. 3
{
  "formula": "Li5GaCu6",
  "functional": "PBE",
  "state": "optimized geometry",
  "lattice": [[-2.5486, 0.5198, 3.3440], [-2.9120, -4.5850, -1.5524], [6.6020, -1.6175, 2.6223]],
  "species": ["Li", "Cu", "Cu", "Cu", "Ga", "Cu", "Cu", "Cu", "Li", "Li", "Li", "Li"],
  "fractional_positions": [[0.3352, 0.8352, 0.6705], [0.8329, 0.0868, 0.6665], [0.8337, 0.5797, 0.6665], [0.1663, 0.4203, 0.3335], [0.0000, 0.0000, 0.0000], [0.4996, 0.2551, 0.0000], [0.5004, 0.7449, 0.0000], [0.1671, 0.9132, 0.3335], [0.6648, 0.1648, 0.3295], [0.0000, 0.5000, 0.0000], [0.3309, 0.3309, 0.6619], [0.6691, 0.6691, 0.3381]],
  "magnetic_moment_mub_per_fu": 0.00,
  "space_group": "C2/m",
  "formation_energy_mev_per_atom": -55,
  "dos_at_fermi_per_ev_cell": 3.46,
  "total_energy_ev_per_cell": -37.84
}

---

No. 4
{
  "formula": "LiGa2Cu3",
  "functional": "PBE",
  "state": "optimized geometry",
  "lattice": [[4.7343, -0.0020, 0.6824], [-0.5700, 4.6998, 0.6824], [-0.1243, -0.1402, 7.2943]],
  "species": ["Li", "Cu", "Cu", "Ga", "Cu", "Cu", "Ga", "Cu", "Ga", "Ga", "Cu", "Li"],
  "fractional_positions": [[0.8916, 0.1084, 0.2500], [0.6679, 0.8251, 0.9732], [0.1749, 0.3321, 0.5268], [0.8911, 0.3513, 0.8808], [0.8251, 0.6679, 0.4732], [0.5418, 0.4582, 0.2500], [0.6487, 0.1089, 0.6192], [0.4582, 0.5418, 0.7500], [0.3513, 0.8911, 0.3808], [0.1089, 0.6487, 0.1192], [0.3321, 0.1749, 0.0268], [0.1084, 0.8916, 0.7500]],
  "magnetic_moment_mub_per_fu": 0.00,
  "space_group": "C2/c",
  "formation_energy_mev_per_atom": -76,
  "e_above_lowest_polymorph_ev_per_atom": 0.070,
  "dos_at_fermi_per_ev_cell": 3.11,
  "total_energy_ev_per_cell": -41.43
}

---

No. 5
{
  "formula": "LiGa2Cu2",
  "functional": "PBE",
  "state": "optimized geometry",
  "lattice": [[-7.3063, -0.0783, -1.2504], [-0.6555, -6.0662, 4.2099], [-0.3852, 1.5369, 2.1546]],
  "species": ["Cu", "Ga", "Ga", "Li", "Cu", "Ga", "Cu", "Cu", "Li", "Ga"],
  "fractional_positions": [[0.1678, 0.6678, 0.5000], [0.3679, 0.8679, 0.0000], [0.8679, 0.6321, 0.0000], [0.5000, 0.5000, 0.0000], [0.3322, 0.1678, 0.5000], [0.1321, 0.3679, 0.0000], [0.6678, 0.8322, 0.5000], [0.8322, 0.3322, 0.5000], [0.0000, 0.0000, 0.0000], [0.6321, 0.1321, 0.0000]],
  "magnetic_moment_mub_per_fu": 0.00,
  "space_group": "P4/mbm",
  "formation_energy_mev_per_atom": -160,
  "e_above_lowest_polymorph_ev_per_atom": 0.020,
  "dos_at_fermi_per_ev_cell": 1.92,
  "total_energy_ev_per_cell": -33.92
}

---

No. 6
{
  "formula": "Li4GaCu4",
  "functional": "PBE",
  "state": "optimized geometry",
  "lattice": [[3.9651, 0.0000, 0.0000], [1.9826, 5.4556, 0.0000], [1.9826, 0.0000, 5.4556]],
  "species": ["Cu", "Ga", "Li", "Cu", "Li", "Li", "Cu", "Cu", "Li"],
  "fractional_positions": [[0.6581, 0.3419, 0.3419], [0.0000, 0.0000, 0.0000], [0.3315, 0.3372, 0.9999], [0.0000, 0.3419, 0.6581], [0.3313, 0.0001, 0.3372], [0.6687, 0.9999, 0.6628], [0.3419, 0.6581, 0.6581], [0.0000, 0.6581, 0.3419], [0.6685, 0.6628, 0.0001]],
  "magnetic_moment_mub_per_fu": 0.00,
  "space_group": "I4/mmm",
  "formation_energy_mev_per_atom": -115,
  "dos_at_fermi_per_ev_cell": 2.22,
  "total_energy_ev_per_cell": -28.10
}

---

No. 7
{
  "formula": "LiGa2Cu2",
  "functional": "PBE",
  "state": "optimized geometry",
  "lattice": [[-1.2851, 3.3284, 0.0416], [-1.0495, -0.4475, 3.3808], [4.2114, 3.4929, 3.6526]],
  "species": ["Cu", "Li", "Ga", "Ga", "Cu"],
  "fractional_positions": [[0.2500, 0.7500, 0.5000], [0.0000, 0.0000, 0.0000], [0.3973, 0.3973, 0.2054], [0.6027, 0.6027, 0.7946], [0.7500, 0.2500, 0.5000]],
  "magnetic_moment_mub_per_fu": 0.00,
  "space_group": "I4/mmm",
  "formation_energy_mev_per_atom": -80,
  "e_above_lowest_polymorph_ev_per_atom": 0.099,
  "dos_at_fermi_per_ev_cell": 1.54,
  "total_energy_ev_per_cell": -16.56
}

---

No. 8
{
  "formula": "LiGa3Cu5",
  "functional": "PBE",
  "state": "optimized geometry",
  "lattice": [[5.1466, 0.0000, 0.0000], [0.0000, 7.3525, 0.0000], [0.0000, -3.6763, 6.3670]],
  "species": ["Li", "Ga", "Cu", "Cu", "Ga", "Cu", "Ga", "Cu", "Ga", "Ga", "Cu", "Ga", "Li", "Cu", "Cu", "Cu", "Cu", "Cu"],
  "fractional_positions": [[0.0000, 0.0000, 0.0000], [0.7500, 0.6698, 0.0000], [0.7500, 0.0000, 0.3387], [0.2500, 0.0000, 0.6613], [0.2500, 0.6698, 0.6698], [0.7500, 0.3387, 0.0000], [0.2500, 0.3302, 0.0000], [0.5000, 0.6667, 0.3333], [0.2500, 0.0000, 0.3302], [0.7500, 0.0000, 0.6698], [0.0000, 0.6667, 0.3333], [0.7500, 0.3302, 0.3302], [0.5000, 0.0000, 0.0000], [0.0000, 0.3333, 0.6667], [0.2500, 0.6613, 0.0000], [0.2500, 0.3387, 0.3387], [0.7500, 0.6613, 0.6613], [0.5000, 0.3333, 0.6667]],
  "magnetic_moment_mub_per_fu": 0.00,
  "space_group": "P6_3/mcm",
  "formation_energy_mev_per_atom": -114,
  "dos_at_fermi_per_ev_cell": 4.70,
  "total_energy_ev_per_cell": -65.01
}

---

Question: What is the formula in the fourth record?
Answer: LiGa2Cu3

---

Question: Number 1 is which compound?
Answer: Li4GaCu3